VASP calculation (PBE) on crystalline ThPa5Ge6 at its relaxed geometry.

Results
Calculated total energy in eV per atom: -7.37
M_tot in μB per cell: 0.00
ΔE_f in eV per atom: -0.49

a b c (Å): 7.2110 12.4915 7.2141
angles (deg): 90.00 109.48 90.00
Space group C2/m (No. 12)
Inequivalent atoms, fractional coordinates:
Th  0.0000  0.0000  0.0000 x2
Pa  0.0000  0.1641  0.5000 x4
Pa  0.0000  0.3324  0.0000 x4
Pa  0.0000  0.5000  0.5000 x2
Ge  0.2422  0.5000  0.2531 x4
Ge  0.2437  0.3293  0.7442 x8